1.
First-principles (PBE-GGA) data for AuBr after structural relaxation, as listed in the Alexandria database.

**Crystal system**: tetragonal
**Space group**: No. 138
**Raw formation energy**: -0.113 eV/atom
**Energy**: -20.71 eV per cell
**Calculated volume**: 32.003 Å³ per atom

Lattice parameters (Å, degrees): 4.3731 4.3731 13.3873 90.00 90.00 90.00
Fractional coordinates of all 8 atoms:
1 Br 0.7500 0.7500 0.3543
2 Br 0.2500 0.2500 0.6457
3 Br 0.2500 0.2500 0.1457
4 Br 0.7500 0.7500 0.8543
5 Au 0.5000 0.5000 0.0000
6 Au 0.0000 0.5000 0.5000
7 Au 0.0000 0.0000 0.0000
8 Au 0.5000 0.0000 0.5000

2.
First-principles (PBE-GGA) data for AuBr after structural relaxation, as listed in the Alexandria database.

**Crystal system**: trigonal
**Space group**: No. 166
**Raw formation energy**: 0.008 eV/atom
**Energy**: -9.87 eV per cell
**Calculated volume**: 26.683 Å³ per atom

Lattice parameters (Å, degrees): 8.0798 8.0798 8.0798 28.58 28.58 28.58
Fractional coordinates of all 4 atoms:
1 Br 0.4720 0.4720 0.4720
2 Br 0.2780 0.2780 0.2780
3 Au 0.7422 0.7422 0.7422
4 Au 0.0078 0.0078 0.0078

3.
First-principles (PBE-GGA) data for AuBr3 after structural relaxation, as listed in the Alexandria database.

**Crystal system**: monoclinic
**Space group**: No. 14
**Raw formation energy**: -0.124 eV/atom
**Energy**: -70.34 eV per cell
**Calculated volume**: 36.812 Å³ per atom

Lattice parameters (Å, degrees): 20.7240 6.9385 8.6924 70.47 90.00 90.00
Fractional coordinates of all 32 atoms:
1 Br 0.2677 0.0272 0.2900
2 Br 0.3554 0.1414 0.7856
3 Br 0.6872 0.4844 0.7103
4 Br 0.8954 0.8300 0.7328
5 Br 0.7677 0.4728 0.2100
6 Br 0.8554 0.3586 0.7144
7 Br 0.1446 0.6414 0.2856
8 Br 0.9791 0.7839 0.2564
9 Br 0.4791 0.7161 0.2436
10 Br 0.3954 0.6700 0.7672
11 Br 0.3128 0.5156 0.2897
12 Br 0.9372 0.3056 0.2336
13 Br 0.7323 0.9728 0.7100
14 Br 0.6046 0.3300 0.2328
15 Br 0.8128 0.9844 0.2103
16 Br 0.0209 0.2161 0.7436
17 Br 0.1046 0.1700 0.2672
18 Br 0.1872 0.0156 0.7897
19 Br 0.6446 0.8586 0.2144
20 Br 0.5628 0.8056 0.7336
21 Br 0.4372 0.1944 0.2664
22 Br 0.5209 0.2839 0.7564
23 Br 0.2323 0.5272 0.7900
24 Br 0.0628 0.6944 0.7664
25 Au 0.5378 0.0238 0.2399
26 Au 0.2109 0.3386 0.2831
27 Au 0.9622 0.5238 0.7399
28 Au 0.0378 0.4762 0.2601
29 Au 0.7891 0.6614 0.7169
30 Au 0.2891 0.8386 0.7831
31 Au 0.7109 0.1614 0.2169
32 Au 0.4622 0.9762 0.7601

4.
First-principles (PBE-GGA) data for Au4Br after structural relaxation, as listed in the Alexandria database.

**Crystal system**: tetragonal
**Space group**: No. 87
**Offset from the most stable computed form**: 0.000 eV/atom
**Raw formation energy**: 0.169 eV/atom
**Energy**: -13.93 eV per cell
**Calculated volume**: 20.365 Å³ per atom

Lattice parameters (Å, degrees): 5.8591 5.8591 5.8591 94.29 94.29 148.24
Fractional coordinates of all 5 atoms:
1 Au 0.6732 0.8800 0.5533
2 Au 0.3268 0.1200 0.4467
3 Au 0.8800 0.3268 0.2068
4 Au 0.1200 0.6732 0.7932
5 Br 0.0000 0.0000 0.0000

5.
First-principles (PBE-GGA) data for AuBr after structural relaxation, as listed in the Alexandria database.

**Crystal system**: hexagonal
**Space group**: No. 186
**Raw formation energy**: 0.119 eV/atom
**Energy**: -9.43 eV per cell
**Calculated volume**: 33.033 Å³ per atom

Lattice parameters (Å, degrees): 4.5034 4.5034 7.5231 90.00 90.00 120.00
Fractional coordinates of all 4 atoms:
1 Br 0.6667 0.3333 0.7951
2 Br 0.3333 0.6667 0.2951
3 Au 0.3333 0.6667 0.7869
4 Au 0.6667 0.3333 0.2869

6.
First-principles (PBE-GGA) data for Au5Br after structural relaxation, as listed in the Alexandria database.

**Crystal system**: orthorhombic
**Space group**: No. 38
**Offset from the most stable computed form**: 0.034 eV/atom
**Raw formation energy**: 0.169 eV/atom
**Energy**: -17.05 eV per cell
**Calculated volume**: 21.449 Å³ per atom

Lattice parameters (Å, degrees): 8.3519 8.3519 3.9797 90.00 90.00 152.38
Fractional coordinates of all 6 atoms:
1 Au 0.3163 0.6837 0.0000
2 Au 0.6922 0.3078 0.0000
3 Au 0.4573 0.5427 0.5000
4 Au 0.8153 0.1847 0.5000
5 Au 0.9472 0.0528 0.0000
6 Br 0.1050 0.8950 0.5000

7.
First-principles (PBE-GGA) data for Au5Br3 after structural relaxation, as listed in the Alexandria database.

**Crystal system**: orthorhombic
**Space group**: No. 65
**Offset from the most stable computed form**: 0.208 eV/atom
**Raw formation energy**: 0.248 eV/atom
**Energy**: -19.42 eV per cell
**Calculated volume**: 27.102 Å³ per atom

Lattice parameters (Å, degrees): 8.3397 8.3397 3.8073 90.00 90.00 125.03
Fractional coordinates of all 8 atoms:
1 Au 0.0000 0.0000 0.0000
2 Au 0.7599 0.7599 0.5000
3 Au 0.2401 0.2401 0.5000
4 Au 0.0000 0.5000 0.0000
5 Au 0.5000 0.0000 0.0000
6 Br 0.7460 0.2540 0.5000
7 Br 0.5000 0.5000 0.0000
8 Br 0.2540 0.7460 0.5000

8.
First-principles (PBE-GGA) data for AuBr3 after structural relaxation, as listed in the Alexandria database.

**Crystal system**: cubic
**Space group**: No. 223
**Raw formation energy**: 0.509 eV/atom
**Energy**: -12.52 eV per cell
**Calculated volume**: 24.826 Å³ per atom

Lattice parameters (Å, degrees): 5.8344 5.8344 5.8344 90.00 90.00 90.00
Fractional coordinates of all 8 atoms:
1 Br 0.5000 0.0000 0.2500
2 Br 0.0000 0.2500 0.5000
3 Br 0.7500 0.5000 0.0000
4 Br 0.2500 0.5000 0.0000
5 Br 0.5000 0.0000 0.7500
6 Br 0.0000 0.7500 0.5000
7 Au 0.0000 0.0000 0.0000
8 Au 0.5000 0.5000 0.5000

9.
First-principles (PBE-GGA) data for AuBr3 after structural relaxation, as listed in the Alexandria database.

**Crystal system**: orthorhombic
**Space group**: No. 65
**Raw formation energy**: 0.014 eV/atom
**Energy**: -8.24 eV per cell
**Calculated volume**: 35.674 Å³ per atom

Lattice parameters (Å, degrees): 4.9153 4.9153 8.2144 90.00 90.00 134.03
Fractional coordinates of all 4 atoms:
1 Br 0.5000 0.5000 0.2076
2 Br 0.0000 0.0000 0.5000
3 Br 0.5000 0.5000 0.7924
4 Au 0.0000 0.0000 0.0000

10.
First-principles (PBE-GGA) data for AuBr after structural relaxation, as listed in the Alexandria database.

**Crystal system**: orthorhombic
**Space group**: No. 51
**Raw formation energy**: 0.160 eV/atom
**Energy**: -9.26 eV per cell
**Calculated volume**: 27.922 Å³ per atom

Lattice parameters (Å, degrees): 3.9758 3.7773 7.4370 90.00 90.00 90.00
Fractional coordinates of all 4 atoms:
1 Br 0.5000 0.5000 0.9240
2 Br 0.5000 0.0000 0.4093
3 Au 0.0000 0.0000 0.0259
4 Au 0.0000 0.5000 0.3074

11.
First-principles (PBE-GGA) data for AuBr2 after structural relaxation, as listed in the Alexandria database.

**Crystal system**: tetragonal
**Space group**: No. 140
**Raw formation energy**: 0.319 eV/atom
**Energy**: -11.33 eV per cell
**Calculated volume**: 25.764 Å³ per atom

Lattice parameters (Å, degrees): 5.8570 5.8570 5.8570 110.28 110.28 107.87
Fractional coordinates of all 6 atoms:
1 Br 0.2114 0.2886 0.5000
2 Br 0.2886 0.7886 0.0772
3 Br 0.7114 0.2114 0.9228
4 Br 0.7886 0.7114 0.5000
5 Au 0.7500 0.7500 0.0000
6 Au 0.2500 0.2500 0.0000

12.
First-principles (PBE-GGA) data for AuBr2 after structural relaxation, as listed in the Alexandria database.

**Crystal system**: tetragonal
**Space group**: No. 123
**Raw formation energy**: 0.245 eV/atom
**Energy**: -5.89 eV per cell
**Calculated volume**: 28.249 Å³ per atom

Lattice parameters (Å, degrees): 5.4866 5.4866 2.8153 90.00 90.00 90.00
Fractional coordinates of all 3 atoms:
1 Br 0.5000 0.0000 0.5000
2 Br 0.0000 0.5000 0.5000
3 Au 0.0000 0.0000 0.0000

13.
First-principles (PBE-GGA) data for AuBr after structural relaxation, as listed in the Alexandria database.

**Crystal system**: tetragonal
**Space group**: No. 129
**Raw formation energy**: 0.124 eV/atom
**Energy**: -9.40 eV per cell
**Calculated volume**: 28.203 Å³ per atom

Lattice parameters (Å, degrees): 4.0481 4.0481 6.8842 90.00 90.00 90.00
Fractional coordinates of all 4 atoms:
1 Br 0.7500 0.7500 0.7062
2 Br 0.2500 0.2500 0.2938
3 Au 0.2500 0.7500 0.0000
4 Au 0.7500 0.2500 0.0000

14.
First-principles (PBE-GGA) data for AuBr3 after structural relaxation, as listed in the Alexandria database.

**Crystal system**: orthorhombic
**Space group**: No. 25
**Raw formation energy**: 0.411 eV/atom
**Energy**: -6.65 eV per cell
**Calculated volume**: 30.769 Å³ per atom

Lattice parameters (Å, degrees): 2.7713 8.0385 5.5248 90.00 90.00 90.00
Fractional coordinates of all 4 atoms:
1 Au 0.0000 0.0000 0.9785
2 Br 0.5000 0.5000 0.8557
3 Br 0.0000 0.5000 0.3557
4 Br 0.5000 0.0000 0.4767

15.
First-principles (PBE-GGA) data for AuBr3 after structural relaxation, as listed in the Alexandria database.

**Crystal system**: orthorhombic
**Space group**: No. 71
**Raw formation energy**: 0.000 eV/atom
**Energy**: -8.30 eV per cell
**Calculated volume**: 32.471 Å³ per atom

Lattice parameters (Å, degrees): 3.8093 8.1731 6.1426 131.70 108.06 90.00
Fractional coordinates of all 4 atoms:
1 Au 0.0000 0.9167 0.0000
2 Br 0.5000 0.4165 0.0000
3 Br 0.2952 0.7119 0.5904
4 Br 0.7048 0.1215 0.4096

16.
First-principles (PBE-GGA) data for AuBr2 after structural relaxation, as listed in the Alexandria database.

**Crystal system**: hexagonal
**Space group**: No. 191
**Raw formation energy**: 0.753 eV/atom
**Energy**: -4.37 eV per cell
**Calculated volume**: 25.634 Å³ per atom

Lattice parameters (Å, degrees): 5.0774 5.0774 3.4445 90.00 90.00 120.00
Fractional coordinates of all 3 atoms:
1 Br 0.3333 0.6667 0.5000
2 Br 0.6667 0.3333 0.5000
3 Au 0.0000 0.0000 0.0000

17.
First-principles (PBE-GGA) data for AuBr2 after structural relaxation, as listed in the Alexandria database.

**Crystal system**: orthorhombic
**Space group**: No. 58
**Raw formation energy**: -0.087 eV/atom
**Energy**: -13.77 eV per cell
**Calculated volume**: 37.455 Å³ per atom

Lattice parameters (Å, degrees): 3.7759 6.8920 8.6356 90.00 90.00 90.00
Fractional coordinates of all 6 atoms:
1 Br 0.0000 0.2881 0.6142
2 Br 0.0000 0.7119 0.3858
3 Br 0.5000 0.7881 0.8858
4 Br 0.5000 0.2119 0.1142
5 Au 0.5000 0.5000 0.5000
6 Au 0.0000 0.0000 0.0000

18.
First-principles (PBE-GGA) data for AuBr after structural relaxation, as listed in the Alexandria database.

**Crystal system**: orthorhombic
**Space group**: No. 67
**Raw formation energy**: -0.052 eV/atom
**Energy**: -10.11 eV per cell
**Calculated volume**: 33.149 Å³ per atom

Lattice parameters (Å, degrees): 4.4103 4.4103 8.9578 90.00 90.00 130.45
Fractional coordinates of all 4 atoms:
1 Au 0.5000 0.5000 0.7713
2 Au 0.0000 0.0000 0.9787
3 Br 0.5000 0.5000 0.1751
4 Br 0.0000 0.0000 0.5749

19.
First-principles (PBE-GGA) data for Au2Br3 after structural relaxation, as listed in the Alexandria database.

**Crystal system**: trigonal
**Space group**: No. 166
**Offset from the most stable computed form**: 0.122 eV/atom
**Raw formation energy**: 0.056 eV/atom
**Energy**: -11.29 eV per cell
**Calculated volume**: 28.499 Å³ per atom

Lattice parameters (Å, degrees): 9.7600 9.7600 9.7600 24.68 24.68 24.68
Fractional coordinates of all 5 atoms:
1 Br 0.7702 0.7702 0.7702
2 Br 0.2298 0.2298 0.2298
3 Br 0.0000 0.0000 0.0000
4 Au 0.6066 0.6066 0.6066
5 Au 0.3934 0.3934 0.3934

20.
First-principles (PBE-GGA) data for AuBr2 after structural relaxation, as listed in the Alexandria database.

**Crystal system**: cubic
**Space group**: No. 227
**Raw formation energy**: 0.968 eV/atom
**Energy**: -7.44 eV per cell
**Calculated volume**: 27.156 Å³ per atom

Lattice parameters (Å, degrees): 6.1307 6.1307 6.1307 60.00 60.00 60.00
Fractional coordinates of all 6 atoms:
1 Br 0.1250 0.1250 0.1250
2 Br 0.1250 0.1250 0.6250
3 Br 0.1250 0.6250 0.1250
4 Br 0.6250 0.1250 0.1250
5 Au 0.7500 0.7500 0.7500
6 Au 0.5000 0.5000 0.5000

21.
First-principles (PBE-GGA) data for AuBr after structural relaxation, as listed in the Alexandria database.

**Crystal system**: orthorhombic
**Space group**: No. 19
**Raw formation energy**: -0.093 eV/atom
**Energy**: -41.09 eV per cell
**Calculated volume**: 34.834 Å³ per atom

Lattice parameters (Å, degrees): 7.7586 7.0089 10.2492 90.00 90.00 90.00
Fractional coordinates of all 16 atoms:
1 Br 0.6926 0.0417 0.7600
2 Br 0.3074 0.5417 0.7400
3 Br 0.7240 0.5232 0.9810
4 Br 0.1926 0.4583 0.2400
5 Br 0.7760 0.4768 0.4810
6 Br 0.2760 0.0232 0.5190
7 Br 0.2240 0.9768 0.0190
8 Br 0.8074 0.9583 0.2600
9 Au 0.5482 0.9803 0.3965
10 Au 0.0482 0.5197 0.6035
11 Au 0.7331 0.7681 0.6138
12 Au 0.4518 0.4803 0.1035
13 Au 0.7669 0.2319 0.1138
14 Au 0.2331 0.7319 0.3862
15 Au 0.9518 0.0197 0.8965
16 Au 0.2669 0.2681 0.8862

22.
First-principles (PBE-GGA) data for AuBr3 after structural relaxation, as listed in the Alexandria database.

**Crystal system**: cubic
**Space group**: No. 225
**Raw formation energy**: 0.600 eV/atom
**Energy**: -5.89 eV per cell
**Calculated volume**: 24.304 Å³ per atom

Lattice parameters (Å, degrees): 5.1612 5.1612 5.1612 60.00 60.00 60.00
Fractional coordinates of all 4 atoms:
1 Au 0.5000 0.5000 0.5000
2 Br 0.7500 0.7500 0.7500
3 Br 0.0000 0.0000 0.0000
4 Br 0.2500 0.2500 0.2500

23.
First-principles (PBE-GGA) data for AuBr3 after structural relaxation, as listed in the Alexandria database.

**Crystal system**: monoclinic
**Space group**: No. 12
**Raw formation energy**: 0.155 eV/atom
**Energy**: -7.68 eV per cell
**Calculated volume**: 33.354 Å³ per atom

Lattice parameters (Å, degrees): 7.4275 7.4275 7.3606 60.35 60.35 22.36
Fractional coordinates of all 4 atoms:
1 Au 0.0000 0.0000 0.0000
2 Br 0.6796 0.6796 0.8201
3 Br 0.5000 0.5000 0.5000
4 Br 0.3204 0.3204 0.1799

24.
First-principles (PBE-GGA) data for AuBr after structural relaxation, as listed in the Alexandria database.

**Crystal system**: orthorhombic
**Space group**: No. 59
**Raw formation energy**: 0.032 eV/atom
**Energy**: -29.32 eV per cell
**Calculated volume**: 30.538 Å³ per atom

Lattice parameters (Å, degrees): 4.3173 6.1763 13.7431 90.00 90.00 90.00
Fractional coordinates of all 12 atoms:
1 Au 0.5000 0.5242 0.3922
2 Au 0.0000 0.4758 0.1078
3 Au 0.5000 0.5242 0.6078
4 Au 0.0000 0.7472 0.5000
5 Au 0.5000 0.2528 0.0000
6 Au 0.0000 0.4758 0.8922
7 Br 0.5000 0.2502 0.1852
8 Br 0.5000 0.1822 0.5000
9 Br 0.0000 0.8178 0.0000
10 Br 0.0000 0.7498 0.6852
11 Br 0.5000 0.2502 0.8148
12 Br 0.0000 0.7498 0.3148

25.
First-principles (PBE-GGA) data for AuBr3 after structural relaxation, as listed in the Alexandria database.

**Crystal system**: tetragonal
**Space group**: No. 122
**Raw formation energy**: 0.151 eV/atom
**Energy**: -15.38 eV per cell
**Calculated volume**: 34.284 Å³ per atom

Lattice parameters (Å, degrees): 10.0851 10.0851 7.6241 48.59 48.59 90.00
Fractional coordinates of all 8 atoms:
1 Br 0.2500 0.7500 0.5000
2 Br 0.8750 0.0622 0.7500
3 Br 0.5000 0.5000 0.0000
4 Br 0.3750 0.1878 0.7500
5 Br 0.9378 0.6250 0.2500
6 Br 0.8122 0.1250 0.2500
7 Au 0.0000 0.0000 0.0000
8 Au 0.7500 0.2500 0.5000

26.
First-principles (PBE-GGA) data for AuBr after structural relaxation, as listed in the Alexandria database.

**Crystal system**: monoclinic
**Space group**: No. 8
**Raw formation energy**: 0.037 eV/atom
**Energy**: -14.63 eV per cell
**Calculated volume**: 27.956 Å³ per atom

Lattice parameters (Å, degrees): 6.9566 6.9566 6.8957 63.13 63.13 34.80
Fractional coordinates of all 6 atoms:
1 Au 0.2796 0.2796 0.9626
2 Au 0.9228 0.9228 0.9969
3 Au 0.4427 0.4427 0.5041
4 Br 0.8289 0.8289 0.4021
5 Br 0.0501 0.0501 0.5971
6 Br 0.6425 0.6425 0.0372